No. 1
8
Lattice="5.129 0.000 0.000 -2.565 5.372 -0.036 0.000 2.479 4.490" Properties=species:S:1:pos:R:3 comment="PBEsol TlMoC2, relaxed" space_group="I-42d (122)" crystal_system=tetragonal pbc="T T T"
C 0.923 4.959 1.657
C -0.923 6.198 3.902
C 3.847 2.719 2.483
C 1.282 1.826 0.866
Tl 2.565 4.545 3.350
Tl 0.000 0.000 0.000
Mo 0.000 3.306 1.104
Mo 2.565 1.240 2.245

No. 2
4
Lattice="3.471 0.000 0.000 -1.736 4.576 0.044 0.000 -1.190 5.447" Properties=species:S:1:pos:R:3 comment="PBEsol CdIn2Au, relaxed" space_group="Cm (8)" crystal_system=monoclinic pbc="T T T"
Au 0.000 3.982 2.741
Cd 1.736 2.042 1.486
In 0.000 0.002 0.093
In 0.000 1.343 3.938

No. 3
40
Lattice="3.773 0.000 0.000 0.000 9.890 0.000 0.000 0.000 16.205" Properties=species:S:1:pos:R:3 comment="PBEsol Hf3P3Pd4, relaxed" space_group="Pnma (62)" crystal_system=orthorhombic pbc="T T T"
Hf 0.943 9.016 0.982
Hf 2.829 0.874 15.224
Hf 2.829 4.071 7.121
Hf 0.943 5.819 9.084
Hf 0.943 6.103 15.432
Hf 2.829 3.788 0.773
Hf 2.829 1.157 8.876
Hf 0.943 8.733 7.329
Hf 0.943 4.721 12.320
Hf 2.829 5.169 3.885
Hf 2.829 9.666 11.988
Hf 0.943 0.224 4.217
P 0.943 1.101 13.335
P 2.829 8.789 2.870
P 2.829 6.046 10.972
P 0.943 3.844 5.233
P 0.943 9.550 9.956
P 2.829 0.341 6.250
P 2.829 4.605 14.352
P 0.943 5.286 1.853
P 0.943 3.164 8.813
P 2.829 6.726 7.393
P 2.829 8.109 15.495
P 0.943 1.781 0.710
Pd 0.943 3.068 2.846
Pd 2.829 6.822 13.359
Pd 2.829 8.013 5.257
Pd 0.943 1.877 10.948
Pd 0.943 7.255 3.343
Pd 2.829 2.635 12.862
Pd 2.829 2.310 4.760
Pd 0.943 7.580 11.446
Pd 0.943 6.102 6.021
Pd 2.829 3.788 10.184
Pd 2.829 1.157 2.082
Pd 0.943 8.733 14.124
Pd 0.943 1.800 6.788
Pd 2.829 8.090 9.417
Pd 2.829 6.745 1.315
Pd 0.943 3.145 14.891

No. 4
5
Lattice="3.917 0.000 0.000 0.000 3.917 0.000 0.000 0.000 3.917" Properties=species:S:1:pos:R:3 comment="PBEsol SiSeO3, relaxed" space_group="Pm-3m (221)" crystal_system=cubic pbc="T T T"
O 0.000 1.959 1.959
O 1.959 0.000 1.959
O 1.959 1.959 0.000
Se 1.959 1.959 1.959
Si 0.000 0.000 0.000

No. 5
9
Lattice="3.308 0.000 0.000 0.000 6.732 0.000 0.000 -3.366 5.830" Properties=species:S:1:pos:R:3 comment="PBEsol AlPIr, relaxed" space_group="P-62m (189)" crystal_system=hexagonal pbc="T T T"
Al 0.000 -2.435 4.217
Al 0.000 4.870 0.000
Al 0.000 0.931 1.612
Ir 0.000 0.000 3.887
Ir 0.000 3.366 1.943
Ir 1.654 0.000 0.000
P 1.654 -1.311 2.271
P 1.654 2.622 0.000
P 1.654 2.055 3.559

No. 6
5
Lattice="-0.965 -4.533 -0.515 1.215 0.252 -4.495 4.833 -1.170 1.241" Properties=species:S:1:pos:R:3 comment="PBEsol CaTiSiCl2, relaxed" space_group="P4/mmm (123)" crystal_system=tetragonal pbc="T T T"
Ca 2.541 -2.726 -1.885
Cl 0.608 0.126 -2.248
Cl -0.483 -2.267 -0.257
Si 2.416 -0.585 0.620
Ti 0.000 0.000 0.000

No. 7
24
Lattice="-2.298 -3.742 -3.373 5.995 -4.992 1.920 -6.387 -4.202 9.014" Properties=species:S:1:pos:R:3 comment="PBEsol Li2TeSe3, relaxed" space_group="P2_1/c (14)" crystal_system=monoclinic pbc="T T T"
Li 1.082 -3.100 0.705
Li -4.716 -5.990 2.999
Li -3.772 -9.836 6.856
Li 2.026 -6.946 4.562
Li -2.269 -4.467 -0.145
Li -3.147 -5.795 6.363
Li -0.421 -8.469 7.706
Li 0.457 -7.141 1.198
Se -4.248 -7.941 4.897
Se -1.427 -2.491 1.687
Se 1.558 -4.995 2.664
Se -1.263 -10.445 5.874
Se 0.084 -5.040 -1.065
Se -3.588 -3.964 4.585
Se -2.774 -7.896 8.626
Se 0.898 -8.972 2.977
Se -5.631 -5.392 7.547
Se -2.057 -6.364 1.878
Se 2.941 -7.544 0.014
Se -0.633 -6.572 5.684
Te -6.419 -7.445 6.183
Te -1.394 -4.393 3.418
Te 3.729 -5.491 1.378
Te -1.296 -8.543 4.144

No. 8
2
Lattice="3.183 0.000 0.000 0.000 3.183 0.000 0.000 0.000 3.183" Properties=species:S:1:pos:R:3 comment="PBEsol ScRh, relaxed" space_group="Pm-3m (221)" crystal_system=cubic pbc="T T T"
Sc 1.592 1.592 1.592
Rh 0.000 0.000 0.000

no.,E (eV per atom),V (Å³/f.u.),total magnetization (μB per cell)
1,-7.390,62.1,0.00
2,-2.828,86.7,0.00
3,-8.335,151.2,0.00
4,-5.248,60.1,0.00
5,-6.855,43.3,0.00
6,-4.852,111.4,0.00
7,-3.808,131.4,0.00
8,-8.365,32.3,0.00